# MnV2P, relaxed, DFT PBE
# Raw total energy (eV/cell): -34.2
# Polymorph energy (0 for the lowest one) (meV/atom): 0
# V (Å³ per atom): 12.26
data_MnV2P
_cell_length_a 3.104
_cell_length_b 3.104
_cell_length_c 5.092
_cell_angle_alpha 90.00
_cell_angle_beta 90.00
_cell_angle_gamma 90.00
_symmetry_space_group_name_H-M 'P 4/m m m'
_symmetry_Int_Tables_number 123
_symmetry_space_group_name_Hall '-P 4 2'
loop_
_atom_site_label
_atom_site_type_symbol
_atom_site_fract_x
_atom_site_fract_y
_atom_site_fract_z
Mn1 Mn 0.000 0.000 0.000
V1 V 0.500 0.500 0.263
P1 P 0.000 0.000 0.500